[1]
# GGA-PBE LiEu2Ir, relaxed
data_LiEu2Ir
_cell_length_a 3.574
_cell_length_b 3.574
_cell_length_c 8.399
_cell_angle_alpha 90.00
_cell_angle_beta 90.00
_cell_angle_gamma 90.00
_space_group_name_H-M_alt 'P 4/m m m'
_space_group_IT_number 123
_space_group_name_Hall '-P 4 2'
loop_
_atom_site_label
_atom_site_type_symbol
_atom_site_fract_x
_atom_site_fract_y
_atom_site_fract_z
Li1 Li 0.000 0.000 0.000
Eu1 Eu 0.500 0.500 0.301
Ir1 Ir 0.000 0.000 0.500
# ΔH_f (0 K)   -0.1934 eV/atom
# M_tot   3.50 μB per atom
# Electronic total energy   -8.024 eV/atom



[2]
# GGA-PBE PmBiAs, relaxed
data_PmBiAs
_cell_length_a 4.028
_cell_length_b 4.028
_cell_length_c 11.006
_cell_angle_alpha 90.00
_cell_angle_beta 90.00
_cell_angle_gamma 90.00
_space_group_name_H-M_alt 'I 4 m m'
_space_group_IT_number 107
_space_group_name_Hall 'I 4 -2'
loop_
_atom_site_label
_atom_site_type_symbol
_atom_site_fract_x
_atom_site_fract_y
_atom_site_fract_z
Pm1 Pm 0.000 0.000 0.000
Bi1 Bi 0.000 0.000 0.314
As1 As 0.000 0.000 0.573
# ΔH_f (0 K)   -0.7002 eV/atom
# M_tot   0.00 μB per atom
# Electronic total energy   -5.127 eV/atom



[3]
# GGA-PBE CePm3Nd4, relaxed
data_CePm3Nd4
_cell_length_a 25.623
_cell_length_b 3.489
_cell_length_c 6.242
_cell_angle_alpha 90.00
_cell_angle_beta 95.83
_cell_angle_gamma 90.00
_space_group_name_H-M_alt 'C 1 2/m 1'
_space_group_IT_number 12
loop_
_space_group_symop_operation_xyz
'x,y,z'
'-x,-y,-z'
'-x,y,-z'
'x,-y,z'
'x+1/2,y+1/2,z'
'-x+1/2,-y+1/2,-z'
'-x+1/2,y+1/2,-z'
'x+1/2,-y+1/2,z'
loop_
_atom_site_label
_atom_site_type_symbol
_atom_site_fract_x
_atom_site_fract_y
_atom_site_fract_z
Ce1 Ce 0.000 0.000 0.000
Pm1 Pm 0.000 0.500 0.500
Pm2 Pm 0.143 0.500 0.746
Nd1 Nd 0.104 0.500 0.230
Nd2 Nd 0.221 0.000 0.237
# ΔH_f (0 K)   0.2313 eV/atom
# M_tot   0.09 μB per atom
# Electronic total energy   -4.676 eV/atom



[4]
# GGA-PBE SmYZr2N4, relaxed
data_SmYZr2N4
_cell_length_a 5.829
_cell_length_b 3.369
_cell_length_c 5.911
_cell_angle_alpha 90.00
_cell_angle_beta 109.25
_cell_angle_gamma 90.00
_space_group_name_H-M_alt 'P 1 2/m 1'
_space_group_IT_number 10
loop_
_space_group_symop_operation_xyz
'x,y,z'
'-x,-y,-z'
'-x,y,-z'
'x,-y,z'
loop_
_atom_site_label
_atom_site_type_symbol
_atom_site_fract_x
_atom_site_fract_y
_atom_site_fract_z
Sm1 Sm 0.000 0.000 0.000
Y1 Y 0.500 0.500 0.000
Zr1 Zr 0.000 0.500 0.500
Zr2 Zr 0.500 0.000 0.500
N1 N 0.247 0.000 0.729
N2 N 0.262 0.500 0.275
# M_tot   0.00 μB per atom
# Electronic total energy   -9.355 eV/atom
# Raw formation energy   -1657.8 meV/atom